Record 1
SrBi3As: optimized geometry, GGA-PBE.

Output
- Relative energy among the computed polymorphs: 1040 meV/atom

```
data_SrBi3As
_cell_length_a 6.051
_cell_length_b 6.051
_cell_length_c 6.051
_cell_angle_alpha 90.00
_cell_angle_beta 90.00
_cell_angle_gamma 90.00
_space_group_name_H-M_alt 'P m -3 m'
_space_group_IT_number 221
_space_group_name_Hall '-P 4 2 3'
loop_
_atom_site_label
_atom_site_fract_x
_atom_site_fract_y
_atom_site_fract_z
Sr1 0.000 0.000 0.000
Bi1 0.000 0.000 0.500
As1 0.500 0.500 0.500
```


Record 2
Ac6RuAu3: optimized geometry, GGA-PBE.

Output
- Relative energy among the computed polymorphs: 116 meV/atom

```
data_Ac6RuAu3
_cell_length_a 12.294
_cell_length_b 15.260
_cell_length_c 7.696
_cell_angle_alpha 90.00
_cell_angle_beta 90.00
_cell_angle_gamma 90.00
_space_group_name_H-M_alt 'C m c 21'
_space_group_IT_number 36
loop_
_space_group_symop_operation_xyz
'x,y,z'
'-x,-y,z+1/2'
'-x,y,z'
'x,-y,z+1/2'
'x+1/2,y+1/2,z'
'-x+1/2,-y+1/2,z+1/2'
'-x+1/2,y+1/2,z'
'x+1/2,-y+1/2,z+1/2'
loop_
_atom_site_label
_atom_site_fract_x
_atom_site_fract_y
_atom_site_fract_z
Ac1 0.000 0.009 0.000
Ac2 0.000 0.240 0.425
Ac3 0.156 0.256 0.912
Ac4 0.165 0.478 0.434
Ru1 0.000 0.150 0.746
Au1 0.000 0.397 0.140
Au2 0.181 0.110 0.231
```


Record 3
Nd5Dy2Y5: optimized geometry, GGA-PBE.

Output
- Relative energy among the computed polymorphs: 76 meV/atom

```
data_Nd5Dy2Y5
_cell_length_a 16.873
_cell_length_b 5.555
_cell_length_c 10.352
_cell_angle_alpha 90.00
_cell_angle_beta 123.88
_cell_angle_gamma 90.00
_space_group_name_H-M_alt 'C 1 2/m 1'
_space_group_IT_number 12
loop_
_space_group_symop_operation_xyz
'x,y,z'
'-x,-y,-z'
'-x,y,-z'
'x,-y,z'
'x+1/2,y+1/2,z'
'-x+1/2,-y+1/2,-z'
'-x+1/2,y+1/2,-z'
'x+1/2,-y+1/2,z'
loop_
_atom_site_label
_atom_site_fract_x
_atom_site_fract_y
_atom_site_fract_z
Nd1 0.000 0.000 0.000
Nd2 0.059 0.000 0.760
Nd3 0.239 0.000 0.279
Dy1 0.157 0.000 0.542
Y1 0.000 0.500 0.500
Y2 0.095 0.500 0.276
Y3 0.178 0.500 0.011
```


Record 4
ScTeP2O: optimized geometry, GGA-PBE.

Output
- Energy relative to the elements, uncorrected: -33 kJ per mole of atoms
- Relative energy among the computed polymorphs: 0 meV/atom

```
data_ScTeP2O
_cell_length_a 5.201
_cell_length_b 5.201
_cell_length_c 3.845
_cell_angle_alpha 90.00
_cell_angle_beta 90.00
_cell_angle_gamma 90.00
_space_group_name_H-M_alt 'P 4/m m m'
_space_group_IT_number 123
_space_group_name_Hall '-P 4 2'
loop_
_atom_site_label
_atom_site_fract_x
_atom_site_fract_y
_atom_site_fract_z
Sc1 0.000 0.000 0.000
Te1 0.500 0.500 0.500
P1 0.000 0.500 0.000
O1 0.000 0.000 0.500
```


Record 5
CsRbGe2Rh: optimized geometry, GGA-PBE.

Output
- Electronic total energy: -0.2616 Ry/atom

```
data_CsRbGe2Rh
_cell_length_a 4.929
_cell_length_b 4.929
_cell_length_c 6.312
_cell_angle_alpha 90.00
_cell_angle_beta 90.00
_cell_angle_gamma 90.00
_space_group_name_H-M_alt 'P 4/m m m'
_space_group_IT_number 123
_space_group_name_Hall '-P 4 2'
loop_
_atom_site_label
_atom_site_fract_x
_atom_site_fract_y
_atom_site_fract_z
Cs1 0.000 0.000 0.000
Rb1 0.500 0.500 0.000
Ge1 0.000 0.500 0.500
Rh1 0.000 0.000 0.500
```


Record 6
LiTbPd: optimized geometry, GGA-PBE.

Output
- Relative energy among the computed polymorphs: 122 meV/atom

```
data_LiTbPd
_cell_length_a 3.572
_cell_length_b 3.572
_cell_length_c 9.419
_cell_angle_alpha 90.00
_cell_angle_beta 90.00
_cell_angle_gamma 90.00
_space_group_name_H-M_alt 'I 4 m m'
_space_group_IT_number 107
_space_group_name_Hall 'I 4 -2'
loop_
_atom_site_label
_atom_site_fract_x
_atom_site_fract_y
_atom_site_fract_z
Li1 0.000 0.000 0.000
Tb1 0.000 0.000 0.299
Pd1 0.000 0.000 0.638
```


no.,mass density (g cm⁻³)
1,5.92
2,9.45
3,6.15
4,4.00
5,5.05
6,7.53